(1)
Material: KTl2Mo
Method: DFT, PBEsol
State: relaxed

Lattice parameters (Å, degrees): 2.9984 4.7743 8.4962 106.20 100.16 90.00
Closest atoms and distances in Å follow each position.
Sites, in units of the cell vectors:
K 0.5648 0.5637 0.1296  2 K 3.00
Mo 0.2687 0.7692 0.5374  6 Tl 2.84, 2 Mo 3.00
Tl 0.9189 0.9188 0.8379  2 Mo 2.84, 2 Tl 3.00
Tl 0.7476 0.2482 0.4951  4 Mo 2.84, 2 Tl 3.00

Properties
Formation energy (eV per atom): 0.599
Density (Mg/m³): 7.87
ΔE to the lowest computed polymorph (eV per atom): 0.0000
Spin magnetization (μB/f.u.): 0.81

=====

(2)
Material: KMoW2
Method: DFT, PBEsol
State: relaxed

Lattice parameters (Å, degrees): 4.6020 4.6020 4.6020 60.00 60.00 60.00
Closest atoms and distances in Å follow each position.
Sites, in units of the cell vectors:
K 0.5000 0.5000 0.5000  4 W 2.82, 4 Mo 2.82
Mo 0.2500 0.2500 0.2500  4 W 2.82, 4 K 2.82
W 0.0000 0.0000 0.0000  4 W 2.82, 4 Mo 2.82
W 0.7500 0.7500 0.7500  4 K 2.82, 4 W 2.82

Properties
Formation energy (eV per atom): 1.675
Density (Mg/m³): 12.11
ΔE to the lowest computed polymorph (eV per atom): 0.6125
Spin magnetization (μB/f.u.): 0.00

=====

(3)
Material: K2MoW
Method: DFT, PBEsol
State: relaxed

Lattice parameters (Å, degrees): 3.3001 3.3001 10.8808 90.90 90.00 90.00
Closest atoms and distances in Å follow each position.
Sites, in units of the cell vectors:
K 0.0000 0.9822 0.0723  4 K 3.30, 4 W 3.62-3.63
K 0.5000 0.5179 0.6776  4 K 3.30, 4 Mo 3.62
Mo 0.0000 0.0029 0.4230  4 W 2.55-2.56
W 0.5000 0.4970 0.3270  4 Mo 2.55-2.56

Properties
Formation energy (eV per atom): 0.970
Density (Mg/m³): 5.02
ΔE to the lowest computed polymorph (eV per atom): 0.0000
Spin magnetization (μB/f.u.): 0.00

=====

(4)
Material: KMoW2
Method: DFT, PBEsol
State: relaxed

Lattice parameters (Å, degrees): 3.0753 3.8189 7.9843 90.00 90.00 90.00
Closest atoms and distances in Å follow each position.
Sites, in units of the cell vectors:
K 0.0000 0.0000 0.4996  2 K 3.08
Mo 0.5000 0.5000 0.8557  1 W 2.30
W 0.0000 0.0000 0.0008  4 W 2.70, 4 Mo 2.71
W 0.5000 0.5000 0.1439  1 Mo 2.30

Properties
Formation energy (eV per atom): 1.063
Density (Mg/m³): 8.90
ΔE to the lowest computed polymorph (eV per atom): 0.0000
Spin magnetization (μB/f.u.): 0.00

=====

(5)
Material: KMoW2
Method: DFT, PBEsol
State: relaxed

Lattice parameters (Å, degrees): 2.6580 5.0876 5.2287 90.00 90.00 90.00
Closest atoms and distances in Å follow each position.
Sites, in units of the cell vectors:
K 0.5000 0.0000 0.5000  2 K 2.66, 4 Mo 2.87, 4 W 2.93
Mo 0.0000 0.5000 0.5000  2 Mo 2.66, 4 K 2.87, 4 W 2.93
W 0.0000 0.0000 0.0000  6 W 2.66-2.87, 4 K 2.93
W 0.5000 0.5000 0.0000  6 W 2.66-2.87, 4 Mo 2.93

Properties
Formation energy (eV per atom): 1.740
Density (Mg/m³): 11.81
ΔE to the lowest computed polymorph (eV per atom): 0.6768
Spin magnetization (μB/f.u.): 0.00

=====

(6)
Material: K2MoW
Method: DFT, PBEsol
State: relaxed

Lattice parameters (Å, degrees): 3.7539 3.7539 6.0979 90.00 90.00 90.00
Closest atoms and distances in Å follow each position.
Sites, in units of the cell vectors:
K 0.0000 0.5000 0.0000  4 K 2.65
K 0.5000 0.0000 0.0000  4 K 2.65
Mo 0.5000 0.5000 0.5000  4 W 2.65
W 0.0000 0.0000 0.5000  4 Mo 2.65

Properties
Formation energy (eV per atom): 1.655
Density (Mg/m³): 6.92
ΔE to the lowest computed polymorph (eV per atom): 0.6851
Spin magnetization (μB/f.u.): 0.01

=====

(7)
Material: KMo4W
Method: DFT, PBEsol
State: relaxed

Lattice parameters (Å, degrees): 5.2884 5.2884 5.2884 60.00 60.00 60.00
Closest atoms and distances in Å follow each position.
Sites, in units of the cell vectors:
K 0.0000 0.0000 0.0000  12 Mo 3.10, 4 W 3.24
Mo 0.3746 0.3746 0.3746  6 Mo 2.64-2.65
Mo 0.3746 0.3746 0.8762  6 Mo 2.64-2.65
Mo 0.8762 0.3746 0.3746  6 Mo 2.64-2.65
Mo 0.3746 0.8762 0.3746  6 Mo 2.64-2.65
W 0.7500 0.7500 0.7500  12 Mo 3.10, 4 K 3.24

Properties
Formation energy (eV per atom): 1.136
Density (Mg/m³): 9.63
Spin magnetization (μB/f.u.): 0.00

=====

(8)
Material: KY2Mo
Method: DFT, PBEsol
State: relaxed

Lattice parameters (Å, degrees): 3.1679 3.1679 11.6814 90.00 90.00 109.31
Closest atoms and distances in Å follow each position.
Sites, in units of the cell vectors:
K 0.0000 0.0000 0.4665  4 K 3.17, 2 Mo 3.45
Mo 0.5000 0.5000 0.2167  2 Y 2.77
Y 0.0000 0.0000 0.0385  2 Mo 2.77
Y 0.5000 0.5000 0.7783  4 Y 3.17

Properties
Formation energy (eV per atom): 0.806
Density (Mg/m³): 4.70
ΔE to the lowest computed polymorph (eV per atom): 0.0000
Spin magnetization (μB/f.u.): 0.00

=====

(9)
Material: KYMo
Method: DFT, PBEsol
State: relaxed

Lattice parameters (Å, degrees): 3.0487 3.0487 9.0081 99.74 99.74 90.00
Closest atoms and distances in Å follow each position.
Sites, in units of the cell vectors:
K 0.0152 0.0152 0.0304  4 K 3.05
Mo 0.6828 0.6828 0.3655  4 Y 3.00, 4 Mo 3.05
Y 0.3020 0.3020 0.6041  4 Mo 3.00, 4 Y 3.05

Properties
Formation energy (eV per atom): 0.971
Density (Mg/m³): 4.57
ΔE to the lowest computed polymorph (eV per atom): 0.0000
Spin magnetization (μB/f.u.): 0.00

=====

(10)
Material: KYMo
Method: DFT, PBEsol
State: relaxed

Lattice parameters (Å, degrees): 2.9724 4.4545 7.0881 108.31 102.10 90.00
Closest atoms and distances in Å follow each position.
Sites, in units of the cell vectors:
K 0.9898 0.9898 0.9795  2 K 2.97
Mo 0.2960 0.2960 0.5921  4 Y 2.89, 2 Mo 2.97
Y 0.7142 0.7142 0.4284  4 Mo 2.89, 2 Y 2.97

Properties
Formation energy (eV per atom): 1.104
Density (Mg/m³): 4.28
ΔE to the lowest computed polymorph (eV per atom): 0.1333
Spin magnetization (μB/f.u.): 0.00

=====

(11)
Material: KY2Mo
Method: DFT, PBEsol
State: relaxed

Lattice parameters (Å, degrees): 3.1138 3.1138 11.5911 90.00 90.00 90.00
Closest atoms and distances in Å follow each position.
Sites, in units of the cell vectors:
K 0.0000 0.0000 0.5334  4 K 3.11
Mo 0.5000 0.5000 0.7834  4 Y 3.03, 4 Mo 3.11
Y 0.0000 0.0000 0.9634  4 Mo 3.03, 4 Y 3.11
Y 0.5000 0.5000 0.2199  4 Y 3.11

Properties
Formation energy (eV per atom): 0.849
Density (Mg/m³): 4.62
ΔE to the lowest computed polymorph (eV per atom): 0.0426
Spin magnetization (μB/f.u.): 0.00

=====

(12)
Material: K4ZnMo
Method: DFT, PBEsol
State: relaxed

Lattice parameters (Å, degrees): 7.2050 7.2050 7.2050 60.00 60.00 60.00
Closest atoms and distances in Å follow each position.
Sites, in units of the cell vectors:
K 0.3754 0.3754 0.3754  6 K 3.59-3.61
K 0.3754 0.3754 0.8739  6 K 3.59-3.61
K 0.8739 0.3754 0.3754  6 K 3.59-3.61
K 0.3754 0.8739 0.3754  6 K 3.59-3.61
Mo 0.7500 0.7500 0.7500  12 K 4.22, 4 Zn 4.41
Zn 0.0000 0.0000 0.0000  12 K 4.23, 4 Mo 4.41

Properties
Formation energy (eV per atom): 1.233
Density (Mg/m³): 1.99
Spin magnetization (μB/f.u.): 5.07

=====

(13)
Material: K2ZnMo
Method: DFT, PBEsol
State: relaxed

Lattice parameters (Å, degrees): 3.5213 5.8966 6.1454 118.67 90.00 90.00
Closest atoms and distances in Å follow each position.
Sites, in units of the cell vectors:
K 0.0000 0.5000 0.5000  2 K 2.95
K 0.0000 0.0000 0.5000  2 K 2.95
Mo 0.5000 0.0000 0.0000  2 Zn 2.95
Zn 0.5000 0.5000 0.0000  2 Mo 2.95

Properties
Formation energy (eV per atom): 1.352
Density (Mg/m³): 3.55
Spin magnetization (μB/f.u.): 3.69

=====

(14)
Material: KZnMo2
Method: DFT, PBEsol
State: relaxed

Lattice parameters (Å, degrees): 3.1809 3.1809 8.2376 90.00 90.00 90.00
Closest atoms and distances in Å follow each position.
Sites, in units of the cell vectors:
K 0.5000 0.5000 0.7404  4 K 3.18, 4 Zn 3.43
Mo 0.0000 0.0000 0.0909  4 Mo 2.57, 1 Zn 2.76
Mo 0.5000 0.5000 0.2423  4 Mo 2.57, 4 Zn 2.71
Zn 0.0000 0.0000 0.4265  5 Mo 2.71-2.76

Properties
Formation energy (eV per atom): 0.610
Density (Mg/m³): 5.90
Spin magnetization (μB/f.u.): 0.00

=====

(15)
Material: KZrMo4
Method: DFT, PBEsol
State: relaxed

Lattice parameters (Å, degrees): 5.4031 5.4031 5.4031 60.00 60.00 60.00
Closest atoms and distances in Å follow each position.
Sites, in units of the cell vectors:
K 0.0000 0.0000 0.0000  12 Mo 3.17, 4 Zr 3.31
Mo 0.3743 0.3743 0.3743  6 Mo 2.69-2.72
Mo 0.3743 0.3743 0.8771  6 Mo 2.69-2.72
Mo 0.8771 0.3743 0.3743  6 Mo 2.69-2.72
Mo 0.3743 0.8771 0.3743  6 Mo 2.69-2.72
Zr 0.7500 0.7500 0.7500  12 Mo 3.17, 4 K 3.31

Properties
Formation energy (eV per atom): 0.869
Density (Mg/m³): 7.65
Spin magnetization (μB/f.u.): 0.00